Entry 1:
# LiLa2Mg2Tl4 | the Alexandria database | PBE | relaxed
# M_tot ... 0.000 μB/atom
# ΔE_f ... -2.5 eV/f.u.
data_LiLa2Mg2Tl4
_space_group_name_H-M_alt 'I 4/m m m'
_space_group_IT_number 139
_space_group_name_Hall '-I 4 2'
_cell_length_a 7.0714
_cell_length_b 7.0714
_cell_length_c 9.5670
_cell_angle_alpha 90.00
_cell_angle_beta 90.00
_cell_angle_gamma 90.00
loop_
_atom_site_label
_atom_site_type_symbol
_atom_site_fract_x
_atom_site_fract_y
_atom_site_fract_z
Li1 Li 0.0000 0.0000 0.0000
La1 La 0.0000 0.5000 0.2500
Mg1 Mg 0.0000 0.0000 0.2856
Tl1 Tl 0.2337 0.2337 0.5000

---

Entry 2:
# ScB2PtN | the Alexandria database | PBE | relaxed
# Formation energy (no corrections) ... 0.76 eV/atom
# M_tot ... 0.000 μB/atom
data_ScB2PtN
_space_group_name_H-M_alt 'P 4/m m m'
_space_group_IT_number 123
_space_group_name_Hall '-P 4 2'
_cell_length_a 3.8591
_cell_length_b 3.8591
_cell_length_c 5.5987
_cell_angle_alpha 90.00
_cell_angle_beta 90.00
_cell_angle_gamma 90.00
loop_
_atom_site_label
_atom_site_type_symbol
_atom_site_fract_x
_atom_site_fract_y
_atom_site_fract_z
Sc1 Sc 0.0000 0.0000 0.0000
B1 B 0.0000 0.5000 0.5000
Pt1 Pt 0.0000 0.0000 0.5000
N1 N 0.5000 0.5000 0.0000

---

Entry 3:
# FeNi2Ru | the Alexandria database | PBE | relaxed
# M_tot ... 0.479 μB/atom
# ΔE_f ... 0.3 eV/f.u.
data_FeNi2Ru
_space_group_name_H-M_alt 'I -4 m 2'
_space_group_IT_number 119
_space_group_name_Hall 'I -4 -2'
_cell_length_a 3.6300
_cell_length_b 3.6300
_cell_length_c 7.1650
_cell_angle_alpha 90.00
_cell_angle_beta 90.00
_cell_angle_gamma 90.00
loop_
_atom_site_label
_atom_site_type_symbol
_atom_site_fract_x
_atom_site_fract_y
_atom_site_fract_z
Fe1 Fe 0.0000 0.0000 0.0000
Ni1 Ni 0.0000 0.0000 0.5000
Ni2 Ni 0.0000 0.5000 0.7500
Ru1 Ru 0.0000 0.5000 0.2500

---

Entry 4:
# KMnCl3 | the Alexandria database | PBE | relaxed
# Formation energy (no corrections) ... -1.45 eV/atom
# M_tot ... 1.000 μB/atom
data_KMnCl3
_space_group_name_H-M_alt 'P 1'
_space_group_IT_number 1
_cell_length_a 5.3306
_cell_length_b 7.7268
_cell_length_c 8.6226
_cell_angle_alpha 102.54
_cell_angle_beta 90.11
_cell_angle_gamma 110.14
loop_
_space_group_symop_operation_xyz
'x,y,z'
loop_
_atom_site_label
_atom_site_type_symbol
_atom_site_fract_x
_atom_site_fract_y
_atom_site_fract_z
K1 K 0.0000 0.0000 0.0000
K2 K 0.5000 0.9998 0.4999
Mn1 Mn 0.2472 0.5060 0.8410
Mn2 Mn 0.7490 0.4933 0.1581
Cl1 Cl 0.0999 0.2005 0.6808
Cl2 Cl 0.2432 0.4855 0.1206
Cl3 Cl 0.4040 0.8101 0.7949
Cl4 Cl 0.5960 0.1898 0.2051
Cl5 Cl 0.7565 0.5139 0.8785
Cl6 Cl 0.8999 0.7989 0.3185

---

Entry 5:
# ZrSb5 | the Alexandria database | PBE | relaxed
# Formation energy (no corrections) ... 0.03 eV/atom
# M_tot ... 0.000 μB/atom
data_ZrSb5
_space_group_name_H-M_alt 'P 4/m m m'
_space_group_IT_number 123
_space_group_name_Hall '-P 4 2'
_cell_length_a 3.1614
_cell_length_b 3.1614
_cell_length_c 17.0844
_cell_angle_alpha 90.00
_cell_angle_beta 90.00
_cell_angle_gamma 90.00
loop_
_atom_site_label
_atom_site_type_symbol
_atom_site_fract_x
_atom_site_fract_y
_atom_site_fract_z
Zr1 Zr 0.0000 0.0000 0.0000
Sb1 Sb 0.0000 0.0000 0.3471
Sb2 Sb 0.5000 0.5000 0.1328
Sb3 Sb 0.5000 0.5000 0.5000

---

Entry 6:
# AgAu | the Alexandria database | PBE | relaxed
# M_tot ... 0.000 μB/atom
# ΔE_f ... 0.1 eV/f.u.
data_AgAu
_space_group_name_H-M_alt 'R -3 m'
_space_group_IT_number 166
_space_group_name_Hall '-R 3 2"'
_cell_length_a 2.9695
_cell_length_b 2.9695
_cell_length_c 28.3367
_cell_angle_alpha 90.00
_cell_angle_beta 90.00
_cell_angle_gamma 120.00
loop_
_atom_site_label
_atom_site_type_symbol
_atom_site_fract_x
_atom_site_fract_y
_atom_site_fract_z
Ag1 Ag 0.0000 0.0000 0.1253
Au1 Au 0.0000 0.0000 0.3755

---

Entry 7:
# Ta2AlB2 | the Alexandria database | PBE | relaxed
# M_tot ... 0.000 μB/atom
# ΔE_f ... -2.4 eV/f.u.
data_Ta2AlB2
_space_group_name_H-M_alt 'P 4/m b m'
_space_group_IT_number 127
_space_group_name_Hall '-P 4 2ab'
_cell_length_a 5.9251
_cell_length_b 5.9251
_cell_length_c 3.4039
_cell_angle_alpha 90.00
_cell_angle_beta 90.00
_cell_angle_gamma 90.00
loop_
_atom_site_label
_atom_site_type_symbol
_atom_site_fract_x
_atom_site_fract_y
_atom_site_fract_z
Ta1 Ta 0.1778 0.3222 0.0000
Al1 Al 0.0000 0.0000 0.5000
B1 B 0.1070 0.6070 0.5000

---

Entry 8:
# BeZn4Ir | the Alexandria database | PBE | relaxed
# M_tot ... 0.000 μB/atom
# ΔE_f ... 0.8 eV/f.u.
data_BeZn4Ir
_space_group_name_H-M_alt 'F -4 3 m'
_space_group_IT_number 216
_space_group_name_Hall 'F -4 2 3'
_cell_length_a 6.8747
_cell_length_b 6.8747
_cell_length_c 6.8747
_cell_angle_alpha 90.00
_cell_angle_beta 90.00
_cell_angle_gamma 90.00
loop_
_atom_site_label
_atom_site_type_symbol
_atom_site_fract_x
_atom_site_fract_y
_atom_site_fract_z
Be1 Be 0.0000 0.0000 0.0000
Zn1 Zn 0.1250 0.1250 0.3750
Ir1 Ir 0.2500 0.2500 0.7500

---

Entry 9:
# Pr7Pt2Au2 | the Alexandria database | PBE | relaxed
# M_tot ... 0.000 μB/atom
# ΔE_f ... -7.6 eV/f.u.
data_Pr7Pt2Au2
_space_group_name_H-M_alt 'I m m 2'
_space_group_IT_number 44
_cell_length_a 4.0326
_cell_length_b 16.3292
_cell_length_c 9.9497
_cell_angle_alpha 90.00
_cell_angle_beta 90.00
_cell_angle_gamma 90.00
loop_
_space_group_symop_operation_xyz
'x,y,z'
'-x,-y,z'
'-x,y,z'
'x,-y,z'
'x+1/2,y+1/2,z+1/2'
'-x+1/2,-y+1/2,z+1/2'
'-x+1/2,y+1/2,z+1/2'
'x+1/2,-y+1/2,z+1/2'
loop_
_atom_site_label
_atom_site_type_symbol
_atom_site_fract_x
_atom_site_fract_y
_atom_site_fract_z
Pr1 Pr 0.0000 0.0000 0.0000
Pr2 Pr 0.0000 0.1081 0.3728
Pr3 Pr 0.0000 0.3094 0.5889
Pr4 Pr 0.0000 0.3830 0.2227
Pt1 Pt 0.0000 0.0000 0.6247
Pt2 Pt 0.0000 0.5000 0.7192
Au1 Au 0.0000 0.2370 0.8786

---

Entry 10:
# Ca2Ag3Cl7 | the Alexandria database | PBE | relaxed
# Formation energy (no corrections) ... -1.40 eV/atom
# M_tot ... 0.000 μB/atom
data_Ca2Ag3Cl7
_space_group_name_H-M_alt 'C m c 21'
_space_group_IT_number 36
_cell_length_a 24.7582
_cell_length_b 7.0999
_cell_length_c 7.0518
_cell_angle_alpha 90.00
_cell_angle_beta 90.00
_cell_angle_gamma 90.00
loop_
_space_group_symop_operation_xyz
'x,y,z'
'-x,-y,z+1/2'
'-x,y,z'
'x,-y,z+1/2'
'x+1/2,y+1/2,z'
'-x+1/2,-y+1/2,z+1/2'
'-x+1/2,y+1/2,z'
'x+1/2,-y+1/2,z+1/2'
loop_
_atom_site_label
_atom_site_type_symbol
_atom_site_fract_x
_atom_site_fract_y
_atom_site_fract_z
Ca1 Ca 0.1045 0.2489 0.0000
Ag1 Ag 0.0000 0.2439 0.5446
Ag2 Ag 0.2004 0.2785 0.4463
Cl1 Cl 0.0000 0.1244 0.8990
Cl2 Cl 0.0746 0.4140 0.3351
Cl3 Cl 0.1366 0.0832 0.6696
Cl4 Cl 0.2075 0.3691 0.0896

---

Entry 11:
# Ce2NpReN6 | the Alexandria database | PBE | relaxed
# Formation energy (no corrections) ... -0.97 eV/atom
# M_tot ... 0.233 μB/atom
data_Ce2NpReN6
_space_group_name_H-M_alt 'P 1 21/c 1'
_space_group_IT_number 14
_cell_length_a 5.6910
_cell_length_b 5.7610
_cell_length_c 9.8246
_cell_angle_alpha 90.00
_cell_angle_beta 125.03
_cell_angle_gamma 90.00
loop_
_space_group_symop_operation_xyz
'x,y,z'
'-x,-y,-z'
'-x,y+1/2,-z+1/2'
'x,-y+1/2,z+1/2'
loop_
_atom_site_label
_atom_site_type_symbol
_atom_site_fract_x
_atom_site_fract_y
_atom_site_fract_z
Ce1 Ce 0.2392 0.0523 0.2499
Np1 Np 0.5000 0.0000 0.0000
Re1 Re 0.0000 0.0000 0.5000
N1 N 0.1446 0.2068 0.9492
N2 N 0.2347 0.6973 0.9462
N3 N 0.3424 0.0219 0.7432

---

Entry 12:
# Ta2CoIr | the Alexandria database | PBE | relaxed
# M_tot ... 0.382 μB/atom
# ΔE_f ... -0.3 eV/f.u.
data_Ta2CoIr
_space_group_name_H-M_alt 'C m m 2'
_space_group_IT_number 35
_cell_length_a 3.7167
_cell_length_b 4.1973
_cell_length_c 7.9702
_cell_angle_alpha 90.00
_cell_angle_beta 90.00
_cell_angle_gamma 90.00
loop_
_space_group_symop_operation_xyz
'x,y,z'
'-x,-y,z'
'-x,y,z'
'x,-y,z'
'x+1/2,y+1/2,z'
'-x+1/2,-y+1/2,z'
'-x+1/2,y+1/2,z'
'x+1/2,-y+1/2,z'
loop_
_atom_site_label
_atom_site_type_symbol
_atom_site_fract_x
_atom_site_fract_y
_atom_site_fract_z
Ta1 Ta 0.0000 0.0000 0.0000
Ta2 Ta 0.0000 0.5000 0.2908
Co1 Co 0.0000 0.0000 0.5322
Ir1 Ir 0.0000 0.5000 0.7427

---

Entry 13:
# Bi2Pd7Se2 | the Alexandria database | PBE | relaxed
# Formation energy (no corrections) ... -0.22 eV/atom
# M_tot ... 0.000 μB/atom
data_Bi2Pd7Se2
_space_group_name_H-M_alt 'C 1 2/m 1'
_space_group_IT_number 12
_cell_length_a 8.8501
_cell_length_b 9.1035
_cell_length_c 5.7013
_cell_angle_alpha 90.00
_cell_angle_beta 110.46
_cell_angle_gamma 90.00
loop_
_space_group_symop_operation_xyz
'x,y,z'
'-x,-y,-z'
'-x,y,-z'
'x,-y,z'
'x+1/2,y+1/2,z'
'-x+1/2,-y+1/2,-z'
'-x+1/2,y+1/2,-z'
'x+1/2,-y+1/2,z'
loop_
_atom_site_label
_atom_site_type_symbol
_atom_site_fract_x
_atom_site_fract_y
_atom_site_fract_z
Bi1 Bi 0.0000 0.2287 0.0000
Pd1 Pd 0.0000 0.5000 0.5000
Pd2 Pd 0.1699 0.2466 0.6779
Pd3 Pd 0.1745 0.5000 0.0106
Se1 Se 0.2276 0.0000 0.5173

---

Entry 14:
# KMg2Rh2 | the Alexandria database | PBE | relaxed
# M_tot ... 0.000 μB/atom
# ΔE_f ... 0.5 eV/f.u.
data_KMg2Rh2
_space_group_name_H-M_alt 'I 4/m m m'
_space_group_IT_number 139
_space_group_name_Hall '-I 4 2'
_cell_length_a 4.6787
_cell_length_b 4.6787
_cell_length_c 10.1281
_cell_angle_alpha 90.00
_cell_angle_beta 90.00
_cell_angle_gamma 90.00
loop_
_atom_site_label
_atom_site_type_symbol
_atom_site_fract_x
_atom_site_fract_y
_atom_site_fract_z
K1 K 0.0000 0.0000 0.0000
Mg1 Mg 0.0000 0.5000 0.2500
Rh1 Rh 0.0000 0.0000 0.3763

---

Entry 15:
# Y2MgF | the Alexandria database | PBE | relaxed
# Formation energy (no corrections) ... -0.83 eV/atom
# M_tot ... 0.000 μB/atom
data_Y2MgF
_space_group_name_H-M_alt 'R -3 m'
_space_group_IT_number 166
_space_group_name_Hall '-R 3 2"'
_cell_length_a 3.3224
_cell_length_b 3.3224
_cell_length_c 30.4668
_cell_angle_alpha 90.00
_cell_angle_beta 90.00
_cell_angle_gamma 120.00
loop_
_atom_site_label
_atom_site_type_symbol
_atom_site_fract_x
_atom_site_fract_y
_atom_site_fract_z
Y1 Y 0.0000 0.0000 0.1066
Mg1 Mg 0.0000 0.0000 0.0000
F1 F 0.0000 0.0000 0.5000

---

Entry 16:
# CoTeS2N | the Alexandria database | PBE | relaxed
# Formation energy (no corrections) ... 0.47 eV/atom
# M_tot ... 0.000 μB/atom
data_CoTeS2N
_space_group_name_H-M_alt 'P 4/m m m'
_space_group_IT_number 123
_space_group_name_Hall '-P 4 2'
_cell_length_a 4.7754
_cell_length_b 4.7754
_cell_length_c 3.4486
_cell_angle_alpha 90.00
_cell_angle_beta 90.00
_cell_angle_gamma 90.00
loop_
_atom_site_label
_atom_site_type_symbol
_atom_site_fract_x
_atom_site_fract_y
_atom_site_fract_z
Co1 Co 0.0000 0.0000 0.0000
Te1 Te 0.5000 0.5000 0.5000
S1 S 0.0000 0.5000 0.0000
N1 N 0.0000 0.0000 0.5000

---

Entry 17:
# Na5Pb | the Alexandria database | PBE | relaxed
# M_tot ... 0.000 μB/atom
# ΔE_f ... -0.5 eV/f.u.
data_Na5Pb
_space_group_name_H-M_alt 'C 1 2/m 1'
_space_group_IT_number 12
_cell_length_a 11.0358
_cell_length_b 5.1979
_cell_length_c 6.9859
_cell_angle_alpha 90.00
_cell_angle_beta 107.84
_cell_angle_gamma 90.00
loop_
_space_group_symop_operation_xyz
'x,y,z'
'-x,-y,-z'
'-x,y,-z'
'x,-y,z'
'x+1/2,y+1/2,z'
'-x+1/2,-y+1/2,-z'
'-x+1/2,y+1/2,-z'
'x+1/2,-y+1/2,z'
loop_
_atom_site_label
_atom_site_type_symbol
_atom_site_fract_x
_atom_site_fract_y
_atom_site_fract_z
Na1 Na 0.0000 0.0000 0.0000
Na2 Na 0.1486 0.5000 0.8080
Na3 Na 0.1734 0.5000 0.3456
Pb1 Pb 0.0000 0.0000 0.5000

---

Entry 18:
# SmHo3Th3 | the Alexandria database | PBE | relaxed
# M_tot ... 0.000 μB/atom
# ΔE_f ... 0.4 eV/f.u.
data_SmHo3Th3
_space_group_name_H-M_alt 'P 63/m'
_space_group_IT_number 176
_space_group_name_Hall '-P 6c'
_cell_length_a 9.4974
_cell_length_b 9.4974
_cell_length_c 5.8153
_cell_angle_alpha 90.00
_cell_angle_beta 90.00
_cell_angle_gamma 120.00
loop_
_atom_site_label
_atom_site_type_symbol
_atom_site_fract_x
_atom_site_fract_y
_atom_site_fract_z
Sm1 Sm 0.3333 0.6667 0.2500
Ho1 Ho 0.0426 0.8051 0.2500
Th1 Th 0.1015 0.6171 0.7500

---

Entry 19:
# CdInTc2Cl | the Alexandria database | PBE | relaxed
# Formation energy (no corrections) ... 1.10 eV/atom
# M_tot ... 0.487 μB/atom
data_CdInTc2Cl
_space_group_name_H-M_alt 'P 4/m m m'
_space_group_IT_number 123
_space_group_name_Hall '-P 4 2'
_cell_length_a 4.4602
_cell_length_b 4.4602
_cell_length_c 5.1986
_cell_angle_alpha 90.00
_cell_angle_beta 90.00
_cell_angle_gamma 90.00
loop_
_atom_site_label
_atom_site_type_symbol
_atom_site_fract_x
_atom_site_fract_y
_atom_site_fract_z
Cd1 Cd 0.0000 0.0000 0.0000
In1 In 0.5000 0.5000 0.0000
Tc1 Tc 0.0000 0.5000 0.5000
Cl1 Cl 0.0000 0.0000 0.5000

---

Entry 20:
# TbDyNiRh | the Alexandria database | PBE | relaxed
# M_tot ... 0.000 μB/atom
# ΔE_f ... -2.5 eV/f.u.
data_TbDyNiRh
_space_group_name_H-M_alt 'F -4 3 m'
_space_group_IT_number 216
_space_group_name_Hall 'F -4 2 3'
_cell_length_a 6.8352
_cell_length_b 6.8352
_cell_length_c 6.8352
_cell_angle_alpha 90.00
_cell_angle_beta 90.00
_cell_angle_gamma 90.00
loop_
_atom_site_label
_atom_site_type_symbol
_atom_site_fract_x
_atom_site_fract_y
_atom_site_fract_z
Tb1 Tb 0.0000 0.0000 0.0000
Dy1 Dy 0.0000 0.0000 0.5000
Ni1 Ni 0.2500 0.2500 0.2500
Rh1 Rh 0.2500 0.2500 0.7500